Record 1
Te8PdRh5 | the Alexandria database | PBE | optimized geometry; DOS at the Fermi energy = 0.548 states/eV per atom; M_tot = 0.00 μB/f.u.; symmetry = F-43m, No. 216; raw total energy = -5.19 eV/atom
1.0
6.791 0.000 3.921
2.264 6.403 3.921
0.000 0.000 7.841
Te Pd Rh
8 1 5
direct
0.386 0.841 0.386
0.841 0.386 0.386
0.386 0.386 0.386
0.386 0.386 0.841
0.867 0.867 0.400
0.400 0.867 0.867
0.867 0.867 0.867
0.867 0.400 0.867
0.250 0.250 0.250
0.000 0.000 0.000
0.625 0.625 0.125
0.625 0.625 0.625
0.125 0.625 0.625
0.625 0.125 0.625

***

Record 2
Te6Pd2Rh | the Alexandria database | PBE | optimized geometry; polymorph energy (0 for the lowest one) = 0 meV/atom; DOS at the Fermi energy = 0.338 states/eV per atom; M_tot = 0.00 μB/f.u.; symmetry = Pnnm, No. 58; raw total energy = -4.41 eV/atom
1.0
7.087 0.000 0.279
0.000 5.275 0.000
-0.472 0.000 12.074
Te Pd Rh
12 4 2
direct
0.818 0.726 0.348
0.818 0.726 0.652
0.822 0.764 0.000
0.678 0.264 0.500
0.682 0.226 0.848
0.682 0.226 0.152
0.182 0.274 0.652
0.182 0.274 0.348
0.178 0.236 0.000
0.322 0.736 0.500
0.318 0.774 0.152
0.318 0.774 0.848
0.000 0.500 0.826
0.500 0.000 0.674
0.500 0.000 0.326
0.000 0.500 0.174
0.500 0.500 0.000
0.000 0.000 0.500

***

Record 3
Te2PdRh | the Alexandria database | PBE | optimized geometry; polymorph energy (0 for the lowest one) = 120 meV/atom; DOS at the Fermi energy = 0.400 states/eV per atom; M_tot = 0.00 μB/f.u.; symmetry = Fm-3m, No. 225; raw total energy = -4.80 eV/atom
1.0
0.000 3.392 3.392
3.392 0.000 3.392
3.392 3.392 0.000
Te Rh Pd
2 1 1
direct
0.250 0.250 0.250
0.750 0.750 0.750
0.000 0.000 0.000
0.500 0.500 0.500

***

Record 4
Te2PdRh | the Alexandria database | PBE | optimized geometry; polymorph energy (0 for the lowest one) = 0 meV/atom; DOS at the Fermi energy = 0.696 states/eV per atom; M_tot = 0.00 μB/f.u.; symmetry = Immm, No. 71; raw total energy = -4.92 eV/atom
1.0
3.889 0.000 0.000
0.000 4.055 0.000
-1.944 -2.028 6.351
Te Pd Rh
2 1 1
direct
0.358 0.358 0.717
0.642 0.642 0.283
0.500 0.000 0.000
0.000 0.500 0.000

***

Record 5
Te12Pd5Rh | the Alexandria database | PBE | optimized geometry; DOS at the Fermi energy = 0.357 states/eV per atom; M_tot = 0.00 μB/f.u.; symmetry = C2/m, No. 12; raw total energy = -4.27 eV/atom
1.0
7.116 0.000 -0.012
3.558 6.066 -0.006
-0.023 0.000 11.031
Te Pd Rh
12 5 1
direct
0.826 0.000 0.374
0.174 0.000 0.626
0.677 0.000 0.876
0.323 0.000 0.124
0.333 0.673 0.879
0.993 0.673 0.121
0.007 0.327 0.879
0.667 0.327 0.121
0.508 0.331 0.624
0.839 0.669 0.624
0.161 0.331 0.376
0.492 0.669 0.376
0.500 0.000 0.500
0.167 0.667 0.500
0.833 0.333 0.500
0.666 0.668 0.000
0.334 0.332 0.000
0.000 0.000 0.000

***

Record 6
Te2Pd3Rh | the Alexandria database | PBE | optimized geometry; polymorph energy (0 for the lowest one) = 0 meV/atom; DOS at the Fermi energy = 0.874 states/eV per atom; M_tot = 0.00 μB/f.u.; symmetry = Ibam, No. 72; raw total energy = -5.11 eV/atom
1.0
-5.367 -0.131 -2.393
0.917 -5.480 -1.755
-0.237 0.587 7.717
Te Pd Rh
4 6 2
direct
0.374 0.138 0.276
0.626 0.862 0.724
0.098 0.362 0.724
0.902 0.638 0.276
0.408 0.655 0.311
0.592 0.345 0.689
0.097 0.845 0.689
0.903 0.155 0.311
0.500 0.750 0.000
0.500 0.250 0.000
0.000 0.250 0.000
0.000 0.750 0.000

***

Record 7
TePd2Rh | the Alexandria database | PBE | optimized geometry; DOS at the Fermi energy = 0.908 states/eV per atom; M_tot = 0.00 μB/f.u.; symmetry = P4/mmm, No. 123; raw total energy = -5.29 eV/atom
1.0
4.137 0.000 0.000
0.000 4.008 0.000
0.000 0.000 4.008
Te Rh Pd
1 1 2
direct
0.500 0.500 0.500
0.500 0.000 0.000
0.000 0.000 0.500
0.000 0.500 0.000

***

Record 8
Te6Pd2Rh | the Alexandria database | PBE | optimized geometry; polymorph energy (0 for the lowest one) = 18 meV/atom; DOS at the Fermi energy = 0.310 states/eV per atom; M_tot = 0.00 μB/f.u.; symmetry = C2/m, No. 12; raw total energy = -4.39 eV/atom
1.0
4.137 0.000 0.000
-2.068 5.307 -2.655
0.000 -1.489 12.487
Te Pd Rh
6 2 1
direct
0.992 0.985 0.708
0.660 0.320 0.045
0.340 0.680 0.955
0.668 0.337 0.618
0.332 0.663 0.382
0.008 0.015 0.292
0.666 0.333 0.832
0.334 0.667 0.168
0.000 0.000 0.500

***

Record 9
Te2Pd3Rh | the Alexandria database | PBE | optimized geometry; polymorph energy (0 for the lowest one) = 35 meV/atom; DOS at the Fermi energy = 0.899 states/eV per atom; M_tot = 0.00 μB/f.u.; symmetry = P-1, No. 2; raw total energy = -5.08 eV/atom
1.0
3.807 -0.004 -1.103
-0.270 4.208 -0.918
-0.075 0.181 6.877
Te Pd Rh
2 3 1
direct
0.358 0.905 0.717
0.642 0.095 0.283
0.500 0.500 0.000
0.834 0.432 0.671
0.166 0.568 0.329
0.000 0.000 0.000

***

Record 10
Te3Pd3Rh | the Alexandria database | PBE | optimized geometry; DOS at the Fermi energy = 0.562 states/eV per atom; M_tot = 0.00 μB/f.u.; symmetry = Cmce, No. 64; raw total energy = -4.97 eV/atom
1.0
-3.500 5.368 -0.509
-4.483 -6.369 4.243
3.987 3.497 9.461
Te Pd Rh
12 12 4
direct
0.235 0.000 0.848
0.265 0.000 0.348
0.735 0.000 0.652
0.765 0.000 0.152
0.543 0.643 0.367
0.957 0.357 0.867
0.399 0.357 0.133
0.101 0.643 0.633
0.457 0.357 0.633
0.043 0.643 0.133
0.601 0.643 0.867
0.899 0.357 0.367
0.643 0.000 0.896
0.857 0.000 0.396
0.143 0.000 0.604
0.357 0.000 0.104
0.973 0.686 0.387
0.527 0.314 0.887
0.787 0.314 0.113
0.713 0.686 0.613
0.027 0.314 0.613
0.473 0.686 0.113
0.213 0.686 0.887
0.287 0.314 0.387
0.416 0.832 0.500
0.084 0.168 0.000
0.584 0.168 0.500
0.916 0.832 0.000

***

Record 11
Te2PdRh | the Alexandria database | PBE | optimized geometry; polymorph energy (0 for the lowest one) = 2 meV/atom; DOS at the Fermi energy = 0.605 states/eV per atom; M_tot = 0.00 μB/f.u.; symmetry = R3m, No. 160; raw total energy = -4.92 eV/atom
1.0
3.980 0.000 0.000
1.990 3.447 0.000
1.990 1.149 6.427
Te Pd Rh
2 1 1
direct
0.072 0.072 0.783
0.257 0.257 0.228
0.511 0.511 0.467
0.659 0.659 0.023

***

Record 12
Te2PdRh | the Alexandria database | PBE | optimized geometry; polymorph energy (0 for the lowest one) = 79 meV/atom; DOS at the Fermi energy = 0.777 states/eV per atom; M_tot = 0.00 μB/f.u.; symmetry = I-42d, No. 122; raw total energy = -4.84 eV/atom
1.0
5.893 0.000 0.000
0.000 5.893 0.000
2.946 2.946 6.158
Te Rh Pd
4 2 2
direct
0.613 0.125 0.250
0.137 0.625 0.250
0.375 0.387 0.750
0.875 0.863 0.750
0.500 0.500 0.000
0.250 0.750 0.500
0.000 0.000 0.000
0.750 0.250 0.500